[1]
VASP calculation (PBE) on a relaxed structure of TeMoW2.

Geometry as POSCAR:
```
TeMoW2
1.0
-1.935 1.935 4.589
1.935 -1.935 4.589
1.935 1.935 -4.589
Te Mo W
1 1 2
Direct
0.000 0.000 0.000 Te
0.500 0.500 0.000 Mo
0.250 0.750 0.500 W
0.750 0.250 0.500 W
```

Total magnetization   0.00 Bohr magnetons per cell
Volume   68.75 Å³/f.u.
Symmetry   I4/mmm, No. 139
E_form (uncorrected)   0.687 eV per atom

[2]
VASP calculation (PBE) on a relaxed structure of TeMoW2.

Geometry as POSCAR:
```
TeMoW2
1.0
-1.940 1.940 9.936
1.940 -1.940 9.936
1.940 1.940 -9.936
Te Mo W
2 2 4
Direct
0.000 0.000 0.000 Te
0.750 0.250 0.500 Te
0.250 0.750 0.500 Mo
0.500 0.500 0.000 Mo
0.121 0.625 0.996 W
0.375 0.371 0.496 W
0.629 0.125 0.004 W
0.875 0.879 0.504 W
```

Total magnetization   0.64 Bohr magnetons per cell
Volume   74.77 Å³/f.u.
Symmetry   I-42d, No. 122
E_form (uncorrected)   1.056 eV per atom

[3]
VASP calculation (PBE) on a relaxed structure of Te2MoW.

Geometry as POSCAR:
```
Te2MoW
1.0
3.515 0.000 0.000
0.000 4.258 0.000
0.000 0.000 7.025
Te Mo W
2 1 1
Direct
0.000 0.000 0.000 Te
0.500 0.500 0.443 Te
0.500 0.000 0.706 Mo
0.000 0.500 0.737 W
```

Distance to the lowest polymorph of the same formula   0.0 meV/atom
Total magnetization   0.00 Bohr magnetons per cell
Volume   105.12 Å³/f.u.
Symmetry   Pmm2, No. 25
E_form (uncorrected)   0.108 eV per atom

[4]
VASP calculation (PBE) on a relaxed structure of TeMo3W.

Geometry as POSCAR:
```
TeMo3W
1.0
4.767 0.000 0.000
0.000 4.767 0.000
0.000 0.000 4.767
Te Mo W
1 3 1
Direct
0.000 0.000 0.000 Te
0.000 0.000 0.500 Mo
0.000 0.500 0.000 Mo
0.500 0.000 0.000 Mo
0.500 0.500 0.500 W
```

Distance to the lowest polymorph of the same formula   578.0 meV/atom
Total magnetization   0.00 Bohr magnetons per cell
Volume   108.35 Å³/f.u.
Symmetry   Pm-3m, No. 221
E_form (uncorrected)   2.280 eV per atom

[5]
VASP calculation (PBE) on a relaxed structure of TeMoW3.

Geometry as POSCAR:
```
TeMoW3
1.0
4.793 0.000 0.000
0.000 4.793 0.000
0.000 0.000 4.793
Te Mo W
1 1 3
Direct
0.000 0.000 0.000 Te
0.500 0.500 0.500 Mo
0.000 0.000 0.500 W
0.000 0.500 0.000 W
0.500 0.000 0.000 W
```

Distance to the lowest polymorph of the same formula   655.1 meV/atom
Total magnetization   0.00 Bohr magnetons per cell
Volume   110.12 Å³/f.u.
Symmetry   Pm-3m, No. 221
E_form (uncorrected)   2.732 eV per atom

[6]
VASP calculation (PBE) on a relaxed structure of Te2MoW.

Geometry as POSCAR:
```
Te2MoW
1.0
0.000 3.427 3.427
3.427 0.000 3.427
3.427 3.427 0.000
Te Mo W
2 1 1
Direct
0.000 0.000 0.000 Te
0.250 0.250 0.250 Te
0.750 0.750 0.750 Mo
0.500 0.500 0.500 W
```

Distance to the lowest polymorph of the same formula   1011.0 meV/atom
Total magnetization   0.45 Bohr magnetons per cell
Volume   80.52 Å³/f.u.
Symmetry   F-43m, No. 216
E_form (uncorrected)   1.119 eV per atom

[7]
VASP calculation (PBE) on a relaxed structure of Te2MoW.

Geometry as POSCAR:
```
Te2MoW
1.0
1.675 -2.736 0.000
1.675 2.736 0.000
0.000 0.000 8.784
Te Mo W
2 1 1
Direct
0.000 0.000 0.248 Te
0.000 0.000 0.752 Te
0.500 0.500 0.000 Mo
0.500 0.500 0.500 W
```

Distance to the lowest polymorph of the same formula   953.9 meV/atom
Total magnetization   0.00 Bohr magnetons per cell
Volume   80.53 Å³/f.u.
Symmetry   Cmmm, No. 65
E_form (uncorrected)   1.061 eV per atom

[8]
VASP calculation (PBE) on a relaxed structure of TeMo3W.

Geometry as POSCAR:
```
TeMo3W
1.0
4.825 0.000 0.000
0.000 4.825 0.000
0.000 0.000 4.825
Te Mo W
1 3 1
Direct
0.000 0.000 0.000 Te
0.000 0.500 0.500 Mo
0.500 0.000 0.500 Mo
0.500 0.500 0.000 Mo
0.500 0.500 0.500 W
```

Distance to the lowest polymorph of the same formula   0.0 meV/atom
Total magnetization   2.35 Bohr magnetons per cell
Volume   112.32 Å³/f.u.
Symmetry   Pm-3m, No. 221
E_form (uncorrected)   1.702 eV per atom

[9]
VASP calculation (PBE) on a relaxed structure of TeMoW2.

Geometry as POSCAR:
```
TeMoW2
1.0
1.554 0.897 8.589
-1.554 0.897 8.589
0.000 -1.795 8.589
Te Mo W
1 1 2
Direct
0.000 0.000 0.000 Te
0.500 0.500 0.500 Mo
0.245 0.245 0.245 W
0.755 0.755 0.755 W
```

Total magnetization   0.00 Bohr magnetons per cell
Volume   71.87 Å³/f.u.
Symmetry   R-3m, No. 166
E_form (uncorrected)   0.651 eV per atom

[10]
VASP calculation (PBE) on a relaxed structure of Te2MoW.

Geometry as POSCAR:
```
Te2MoW
1.0
4.332 -1.623 0.000
4.332 1.623 0.000
-1.217 0.000 5.497
Te Mo W
2 1 1
Direct
0.250 0.250 0.250 Te
0.750 0.750 0.750 Te
0.000 0.000 0.500 Mo
0.500 0.500 0.000 W
```

Distance to the lowest polymorph of the same formula   514.3 meV/atom
Total magnetization   0.00 Bohr magnetons per cell
Volume   77.28 Å³/f.u.
Symmetry   C2/m, No. 12
E_form (uncorrected)   0.622 eV per atom

[11]
VASP calculation (PBE) on a relaxed structure of TeMoW4.

Geometry as POSCAR:
```
TeMoW4
1.0
0.000 3.774 3.774
3.774 0.000 3.774
3.774 3.774 0.000
Te Mo W
1 1 4
Direct
0.000 0.000 0.000 Te
0.250 0.250 0.250 Mo
0.124 0.625 0.625 W
0.625 0.124 0.625 W
0.625 0.625 0.124 W
0.625 0.625 0.625 W
```

Total magnetization   0.00 Bohr magnetons per cell
Volume   107.52 Å³/f.u.
Symmetry   F-43m, No. 216
E_form (uncorrected)   0.741 eV per atom

[12]
VASP calculation (PBE) on a relaxed structure of Te2MoW.

Geometry as POSCAR:
```
Te2MoW
1.0
3.337 0.000 0.000
0.000 3.337 0.000
0.000 0.000 6.677
Te Mo W
2 1 1
Direct
0.000 0.000 0.250 Te
0.000 0.000 0.750 Te
0.500 0.500 0.000 Mo
0.500 0.500 0.500 W
```

Distance to the lowest polymorph of the same formula   442.9 meV/atom
Total magnetization   0.00 Bohr magnetons per cell
Volume   74.33 Å³/f.u.
Symmetry   P4/mmm, No. 123
E_form (uncorrected)   0.550 eV per atom

[13]
VASP calculation (PBE) on a relaxed structure of Te8Mo3W.

Geometry as POSCAR:
```
Te8Mo3W
1.0
3.555 0.000 0.000
-1.778 3.079 0.000
0.000 0.000 37.282
Te Mo W
8 3 1
Direct
0.000 0.000 0.000 Te
0.000 0.000 0.097 Te
0.000 0.000 0.397 Te
0.000 0.000 0.494 Te
0.333 0.667 0.198 Te
0.333 0.667 0.295 Te
0.333 0.667 0.801 Te
0.333 0.667 0.898 Te
0.000 0.000 0.850 Mo
0.333 0.667 0.049 Mo
0.333 0.667 0.446 Mo
0.000 0.000 0.247 W
```

Total magnetization   0.00 Bohr magnetons per cell
Volume   408.15 Å³/f.u.
Symmetry   P3m1, No. 156
E_form (uncorrected)   -0.230 eV per atom

[14]
VASP calculation (PBE) on a relaxed structure of TeMoW2.

Geometry as POSCAR:
```
TeMoW2
1.0
3.061 0.000 0.000
0.000 4.291 0.000
0.000 0.000 5.336
Te Mo W
1 1 2
Direct
0.000 0.000 0.000 Te
0.000 0.000 0.500 Mo
0.500 0.500 0.264 W
0.500 0.500 0.736 W
```

Total magnetization   0.00 Bohr magnetons per cell
Volume   70.08 Å³/f.u.
Symmetry   Pmmm, No. 47
E_form (uncorrected)   0.605 eV per atom

[15]
VASP calculation (PBE) on a relaxed structure of Te8MoW3.

Geometry as POSCAR:
```
Te8MoW3
1.0
3.556 0.000 0.000
-1.778 3.079 0.000
0.000 0.000 29.833
Te Mo W
8 1 3
Direct
0.000 0.000 0.000 Te
0.000 0.000 0.121 Te
0.000 0.000 0.499 Te
0.000 0.000 0.621 Te
0.333 0.667 0.249 Te
0.333 0.667 0.371 Te
0.333 0.667 0.750 Te
0.333 0.667 0.872 Te
0.333 0.667 0.061 Mo
0.000 0.000 0.310 W
0.000 0.000 0.811 W
0.333 0.667 0.560 W
```

Total magnetization   0.00 Bohr magnetons per cell
Volume   326.66 Å³/f.u.
Symmetry   P3m1, No. 156
E_form (uncorrected)   -0.132 eV per atom

[16]
VASP calculation (PBE) on a relaxed structure of Te2MoW.

Geometry as POSCAR:
```
Te2MoW
1.0
1.640 0.947 10.222
-1.640 0.947 10.222
0.000 -1.894 10.222
Te Mo W
2 1 1
Direct
0.000 0.000 0.000 Te
0.197 0.197 0.197 Te
0.463 0.463 0.463 Mo
0.733 0.733 0.733 W
```

Distance to the lowest polymorph of the same formula   186.4 meV/atom
Total magnetization   0.00 Bohr magnetons per cell
Volume   95.29 Å³/f.u.
Symmetry   R3m, No. 160
E_form (uncorrected)   0.294 eV per atom

[17]
VASP calculation (PBE) on a relaxed structure of TeMoW2.

Geometry as POSCAR:
```
TeMoW2
1.0
3.227 0.000 0.000
0.000 3.227 0.000
0.000 0.000 6.703
Te Mo W
1 1 2
Direct
0.000 0.000 0.000 Te
0.000 0.000 0.500 Mo
0.500 0.500 0.270 W
0.500 0.500 0.730 W
```

Total magnetization   0.00 Bohr magnetons per cell
Volume   69.82 Å³/f.u.
Symmetry   P4/mmm, No. 123
E_form (uncorrected)   0.524 eV per atom

[18]
VASP calculation (PBE) on a relaxed structure of TeMoW2.

Geometry as POSCAR:
```
TeMoW2
1.0
3.847 0.000 0.000
0.000 3.847 0.000
0.000 0.000 4.714
Te Mo W
1 1 2
Direct
0.000 0.000 0.000 Te
0.500 0.500 0.000 Mo
0.000 0.500 0.500 W
0.500 0.000 0.500 W
```

Total magnetization   0.00 Bohr magnetons per cell
Volume   69.76 Å³/f.u.
Symmetry   P4/mmm, No. 123
E_form (uncorrected)   0.794 eV per atom

[19]
VASP calculation (PBE) on a relaxed structure of Te2MoW.

Geometry as POSCAR:
```
Te2MoW
1.0
0.000 3.336 3.336
3.336 0.000 3.336
3.336 3.336 0.000
Te Mo W
2 1 1
Direct
0.250 0.250 0.250 Te
0.750 0.750 0.750 Te
0.000 0.000 0.000 Mo
0.500 0.500 0.500 W
```

Distance to the lowest polymorph of the same formula   434.0 meV/atom
Total magnetization   0.00 Bohr magnetons per cell
Volume   74.25 Å³/f.u.
Symmetry   Fm-3m, No. 225
E_form (uncorrected)   0.542 eV per atom

[20]
VASP calculation (PBE) on a relaxed structure of TeMo4W.

Geometry as POSCAR:
```
TeMo4W
1.0
0.000 3.733 3.733
3.733 0.000 3.733
3.733 3.733 0.000
Te Mo W
1 4 1
Direct
0.000 0.000 0.000 Te
0.375 0.375 0.375 Mo
0.375 0.375 0.876 Mo
0.375 0.876 0.375 Mo
0.876 0.375 0.375 Mo
0.750 0.750 0.750 W
```

Total magnetization   0.00 Bohr magnetons per cell
Volume   104.01 Å³/f.u.
Symmetry   F-43m, No. 216
E_form (uncorrected)   0.582 eV per atom

[21]
VASP calculation (PBE) on a relaxed structure of Te5Mo2W.

Geometry as POSCAR:
```
Te5Mo2W
1.0
6.348 -4.017 0.000
6.348 4.017 0.000
-2.318 0.000 4.962
Te Mo W
5 2 1
Direct
0.000 0.000 0.000 Te
0.149 0.575 0.347 Te
0.443 0.889 0.643 Te
0.575 0.149 0.347 Te
0.889 0.443 0.643 Te
0.202 0.202 0.398 Mo
0.796 0.796 0.046 Mo
0.806 0.806 0.529 W
```

Total magnetization   1.09 Bohr magnetons per cell
Volume   253.10 Å³/f.u.
Symmetry   Cm, No. 8
E_form (uncorrected)   0.344 eV per atom

[22]
VASP calculation (PBE) on a relaxed structure of TeMoW3.

Geometry as POSCAR:
```
TeMoW3
1.0
4.800 0.000 0.000
0.000 4.800 0.000
0.000 0.000 4.800
Te Mo W
1 1 3
Direct
0.000 0.000 0.000 Te
0.500 0.500 0.500 Mo
0.000 0.500 0.500 W
0.500 0.000 0.500 W
0.500 0.500 0.000 W
```

Distance to the lowest polymorph of the same formula   0.0 meV/atom
Total magnetization   0.00 Bohr magnetons per cell
Volume   110.60 Å³/f.u.
Symmetry   Pm-3m, No. 221
E_form (uncorrected)   2.077 eV per atom

[23]
VASP calculation (PBE) on a relaxed structure of TeMoW2.

Geometry as POSCAR:
```
TeMoW2
1.0
1.563 0.903 8.544
-1.563 0.903 8.544
0.000 -1.805 8.544
Te Mo W
1 1 2
Direct
0.000 0.000 0.000 Te
0.753 0.753 0.753 Mo
0.242 0.242 0.242 W
0.499 0.499 0.499 W
```

Total magnetization   0.00 Bohr magnetons per cell
Volume   72.34 Å³/f.u.
Symmetry   R3m, No. 160
E_form (uncorrected)   0.571 eV per atom

[24]
VASP calculation (PBE) on a relaxed structure of Te2MoW.

Geometry as POSCAR:
```
Te2MoW
1.0
4.953 -1.657 0.000
4.953 1.657 0.000
-2.562 0.000 4.967
Te Mo W
2 1 1
Direct
0.000 0.000 0.000 Te
0.187 0.187 0.653 Te
0.434 0.434 0.536 Mo
0.751 0.751 0.117 W
```

Distance to the lowest polymorph of the same formula   394.5 meV/atom
Total magnetization   0.00 Bohr magnetons per cell
Volume   81.50 Å³/f.u.
Symmetry   Cm, No. 8
E_form (uncorrected)   0.502 eV per atom

[25]
VASP calculation (PBE) on a relaxed structure of Te2MoW.

Geometry as POSCAR:
```
Te2MoW
1.0
1.622 0.937 8.475
-1.622 0.937 8.475
0.000 -1.873 8.475
Te Mo W
2 1 1
Direct
0.249 0.249 0.249 Te
0.751 0.751 0.751 Te
0.500 0.500 0.500 Mo
0.000 0.000 0.000 W
```

Distance to the lowest polymorph of the same formula   517.9 meV/atom
Total magnetization   0.00 Bohr magnetons per cell
Volume   77.25 Å³/f.u.
Symmetry   R-3m, No. 166
E_form (uncorrected)   0.626 eV per atom

[26]
VASP calculation (PBE) on a relaxed structure of TeMoW2.

Geometry as POSCAR:
```
TeMoW2
1.0
4.769 0.000 0.000
0.000 3.182 0.000
-1.829 0.000 4.598
Te Mo W
1 1 2
Direct
0.000 0.000 0.000 Te
0.500 0.500 0.000 Mo
0.000 0.500 0.500 W
0.500 0.000 0.500 W
```

Total magnetization   0.00 Bohr magnetons per cell
Volume   69.79 Å³/f.u.
Symmetry   P2/m, No. 10
E_form (uncorrected)   0.684 eV per atom

[27]
VASP calculation (PBE) on a relaxed structure of TeMoW2.

Geometry as POSCAR:
```
TeMoW2
1.0
1.602 -2.385 0.000
1.602 2.385 0.000
0.000 0.000 9.547
Te Mo W
1 1 2
Direct
0.000 0.000 0.000 Te
0.000 0.000 0.500 Mo
0.500 0.500 0.277 W
0.500 0.500 0.723 W
```

Total magnetization   0.00 Bohr magnetons per cell
Volume   72.97 Å³/f.u.
Symmetry   Cmmm, No. 65
E_form (uncorrected)   0.694 eV per atom

[28]
VASP calculation (PBE) on a relaxed structure of TeMoW2.

Geometry as POSCAR:
```
TeMoW2
1.0
3.224 0.000 0.000
0.000 3.224 0.000
0.000 0.000 6.726
Te Mo W
1 1 2
Direct
0.000 0.000 0.000 Te
0.500 0.500 0.732 Mo
0.000 0.000 0.503 W
0.500 0.500 0.269 W
```

Total magnetization   0.00 Bohr magnetons per cell
Volume   69.91 Å³/f.u.
Symmetry   P4mm, No. 99
E_form (uncorrected)   0.430 eV per atom

[29]
VASP calculation (PBE) on a relaxed structure of Te2MoW.

Geometry as POSCAR:
```
Te2MoW
1.0
-3.112 3.112 5.916
3.112 -3.112 5.916
3.112 3.112 -5.916
Te Mo W
4 2 2
Direct
0.122 0.625 0.997 Te
0.375 0.372 0.497 Te
0.628 0.125 0.003 Te
0.875 0.878 0.503 Te
0.250 0.750 0.500 Mo
0.500 0.500 0.000 Mo
0.000 0.000 0.000 W
0.750 0.250 0.500 W
```

Distance to the lowest polymorph of the same formula   1030.9 meV/atom
Total magnetization   5.44 Bohr magnetons per cell
Volume   114.59 Å³/f.u.
Symmetry   I-42d, No. 122
E_form (uncorrected)   1.139 eV per atom